Material: CdIn2As
Method: DFT, GGA-PBE
State: relaxed

a b c (Å): 3.4698 3.4698 8.1518
angles (deg): 90.00 90.00 90.00
Last column: nearest neighbours and their distance in Å.
Fractional coordinates of all 4 atoms:
In  0.5000  0.5000  0.2817  4 As 3.08, 4 In 3.44
In  0.0000  0.0000  0.9852  4 Cd 3.25, 8 In 3.44-3.47
As  0.0000  0.0000  0.5097  4 Cd 3.01, 4 In 3.08
Cd  0.5000  0.5000  0.7233  4 As 3.01, 4 In 3.25

Computed properties:
Fermi-level density of states: 2.2 states/eV/cell
Formation enthalpy at 0 K: 0.10 eV/atom
Total energy: -2.662 eV/atom

Material: Ba2HfZnIn
Method: DFT, GGA-PBE
State: relaxed

a b c (Å): 6.2877 4.9333 6.2877
angles (deg): 90.00 90.00 90.00
Last column: nearest neighbours and their distance in Å.
Fractional coordinates of all 5 atoms:
Hf  0.5000  0.5000  0.5000  8 Ba 4.00, 4 In 4.45
Ba  0.0000  0.0000  0.5000  2 Zn 3.14
Ba  0.5000  0.0000  0.0000  2 Zn 3.14
Zn  0.0000  0.0000  0.0000  2 In 2.47
In  0.0000  0.5000  0.0000  2 Zn 2.47

Computed properties:
Fermi-level density of states: 8.0 states/eV/cell
Formation enthalpy at 0 K: 0.62 eV/atom
Total energy: -2.946 eV/atom

Material: CsLaSb2Te
Method: DFT, GGA-PBE
State: relaxed

a b c (Å): 6.1772 6.1772 6.2503
angles (deg): 90.00 90.00 90.00
Last column: nearest neighbours and their distance in Å.
Fractional coordinates of all 5 atoms:
La  0.0000  0.0000  0.0000  4 Sb 3.09, 2 Te 3.13
Cs  0.5000  0.5000  0.5000  4 Te 4.37, 8 Sb 4.39
Sb  0.0000  0.5000  0.0000  2 La 3.09
Sb  0.5000  0.0000  0.0000  2 La 3.09
Te  0.0000  0.0000  0.5000  2 La 3.13

Computed properties:
Fermi-level density of states: 7.2 states/eV/cell
Formation energy (no corrections): -1.648 eV/f.u.
Total energy: -3.763 eV/atom

Material: CoSi3N
Method: DFT, GGA-PBE
State: relaxed

a b c (Å): 3.8809 3.8809 3.8809
angles (deg): 90.00 90.00 90.00
Last column: nearest neighbours and their distance in Å.
Fractional coordinates of all 5 atoms:
N  0.0000  0.0000  0.0000  6 Si 1.94
Si  0.0000  0.5000  0.0000  2 N 1.94
Si  0.0000  0.0000  0.5000  2 N 1.94
Si  0.5000  0.0000  0.0000  2 N 1.94
Co  0.5000  0.5000  0.5000  12 Si 2.74

Computed properties:
Fermi-level density of states: 3.3 states/eV/cell
Formation energy (no corrections): 2.937 eV/f.u.
Total energy: -5.753 eV/atom

Material: La2TcRu
Method: DFT, GGA-PBE
State: relaxed

a b c (Å): 3.3671 4.0660 7.5825
angles (deg): 90.00 90.00 90.00
Last column: nearest neighbours and their distance in Å.
Fractional coordinates of all 4 atoms:
La  0.0000  0.0000  0.9031  1 Ru 2.53
La  0.5000  0.5000  0.3502  1 Tc 2.48
Ru  0.0000  0.0000  0.5692  1 La 2.53, 4 Tc 2.76
Tc  0.5000  0.5000  0.6775  1 La 2.48, 4 Ru 2.76

Computed properties:
Fermi-level density of states: 3.4 states/eV/cell
Formation enthalpy at 0 K: 0.18 eV/atom
Total energy: -7.194 eV/atom

Material: CaPuAu2O8
Method: DFT, GGA-PBE
State: relaxed

a b c (Å): 6.1446 6.1446 6.1446
angles (deg): 111.00 111.00 106.46
Last column: nearest neighbours and their distance in Å.
Fractional coordinates of all 12 atoms:
O  0.4992  0.7204  0.7788  1 Pu 1.95
O  0.9615  0.6301  0.6686  1 Au 1.95
O  0.3699  0.0385  0.3314  1 Au 1.95
O  0.7071  0.0385  0.6686  1 Au 1.95
O  0.9615  0.2929  0.3314  1 Au 1.95
O  0.2796  0.0584  0.7788  1 Pu 1.95
O  0.2796  0.5008  0.2212  1 Pu 1.95
O  0.9416  0.7204  0.2212  1 Pu 1.95
Pu  0.2500  0.7500  0.5000  4 O 1.95
Ca  0.0000  0.0000  0.0000  8 O 2.32-2.57
Au  0.5000  0.5000  0.0000  4 O 2.24
Au  0.7500  0.2500  0.5000  4 O 1.95

Computed properties:
Formation energy (no corrections): -12.419 eV/f.u.
Total energy: -6.248 eV/atom

Material: Sr3In2Ga2Pd4
Method: DFT, GGA-PBE
State: relaxed

a b c (Å): 4.5357 4.5357 15.4761
angles (deg): 90.00 90.00 120.00
Last column: nearest neighbours and their distance in Å.
Fractional coordinates of all 11 atoms:
In  0.6667  0.3333  0.4346  4 Pd 2.72-2.77
In  0.3333  0.6667  0.5654  4 Pd 2.72-2.77
Ga  0.6667  0.3333  0.8616  3 Pd 2.62
Ga  0.3333  0.6667  0.1384  3 Pd 2.62
Pd  0.6667  0.3333  0.6133  4 In 2.72-2.77
Pd  0.6667  0.3333  0.1332  3 Ga 2.62
Pd  0.3333  0.6667  0.3867  4 In 2.72-2.77
Pd  0.3333  0.6667  0.8668  3 Ga 2.62
Sr  0.0000  0.0000  0.7287  6 Pd 3.17-3.38, 3 Ga 3.33
Sr  0.0000  0.0000  0.0000  6 Pd 3.33, 6 Ga 3.38
Sr  0.0000  0.0000  0.2713  6 Pd 3.17-3.38, 3 Ga 3.33

Computed properties:
Fermi-level density of states: 5.2 states/eV/cell
Formation enthalpy at 0 K: -0.57 eV/atom
Total energy: -3.963 eV/atom

Material: TbNdSb2Rh5
Method: DFT, GGA-PBE
State: relaxed

a b c (Å): 4.4715 4.4715 8.9979
angles (deg): 90.00 90.00 90.00
Last column: nearest neighbours and their distance in Å.
Fractional coordinates of all 9 atoms:
Rh  0.0000  0.5000  0.7170  2 Sb 2.51
Rh  0.5000  0.0000  0.7170  2 Sb 2.51
Rh  0.0000  0.5000  0.2830  2 Sb 2.51
Rh  0.5000  0.0000  0.2830  2 Sb 2.51
Rh  0.5000  0.5000  0.5000  8 Rh 2.97, 2 Sb 3.09, 4 Nd 3.16
Nd  0.0000  0.0000  0.5000  12 Rh 2.97-3.16
Tb  0.0000  0.0000  0.0000  8 Rh 3.39, 8 Sb 3.46
Sb  0.5000  0.5000  0.1570  4 Rh 2.51
Sb  0.5000  0.5000  0.8430  4 Rh 2.51

Computed properties:
Fermi-level density of states: 5.5 states/eV/cell
Formation energy (no corrections): -4.751 eV/f.u.
Total energy: -6.572 eV/atom

Material: MnTeSe2
Method: DFT, GGA-PBE
State: relaxed

a b c (Å): 3.6563 5.4479 6.5636
angles (deg): 48.12 90.00 90.00
Last column: nearest neighbours and their distance in Å.
Fractional coordinates of all 4 atoms:
Se  0.5000  0.2234  0.2553  2 Mn 2.47-2.56
Se  0.0000  0.9295  0.9051  2 Mn 2.48, 1 Te 2.71
Te  0.0000  0.5962  0.5646  1 Se 2.71, 2 Mn 2.74
Mn  0.5000  0.7508  0.7750  4 Se 2.47-2.56, 2 Te 2.74

Computed properties:
Fermi-level density of states: 2.4 states/eV/cell
Formation energy (no corrections): -0.505 eV/f.u.
Total energy: -4.946 eV/atom

Material: NaGa9Pd2
Method: DFT, GGA-PBE
State: relaxed

a b c (Å): 6.7057 8.7574 8.7574
angles (deg): 81.57 67.49 67.49
Last column: nearest neighbours and their distance in Å.
Fractional coordinates of all 24 atoms:
Pd  0.8750  0.2500  0.7500  10 Ga 2.68-2.98
Pd  0.8750  0.7500  0.2500  10 Ga 2.68-2.98
Pd  0.8750  0.2500  0.2500  10 Ga 2.68-2.98
Pd  0.3750  0.7500  0.7500  10 Ga 2.68-2.98
Ga  0.7500  0.5000  0.5000  8 Ga 2.90, 4 Pd 2.98
Ga  0.3262  0.0687  0.6920  5 Ga 2.66-2.90, 2 Pd 2.68-2.70
Ga  0.0869  0.9313  0.3080  5 Ga 2.66-2.90, 2 Pd 2.68-2.70
Ga  0.3262  0.6920  0.0687  5 Ga 2.66-2.90, 2 Pd 2.68-2.70
Ga  0.9818  0.6920  0.9313  5 Ga 2.66-2.90, 2 Pd 2.68-2.70
Ga  0.6051  0.3080  0.0687  5 Ga 2.66-2.90, 2 Pd 2.68-2.70
Ga  0.6631  0.5687  0.1920  5 Ga 2.66-2.90, 2 Pd 2.68-2.70
Ga  0.7682  0.5687  0.8080  5 Ga 2.66-2.90, 2 Pd 2.68-2.70
Ga  0.0869  0.3080  0.9313  5 Ga 2.66-2.90, 2 Pd 2.68-2.70
Ga  0.1449  0.1920  0.4313  5 Ga 2.66-2.90, 2 Pd 2.68-2.70
Ga  0.0000  0.0000  0.0000  8 Ga 2.90, 4 Pd 2.98
Ga  0.9818  0.9313  0.6920  5 Ga 2.66-2.90, 2 Pd 2.68-2.70
Ga  0.4238  0.4313  0.8080  5 Ga 2.66-2.90, 2 Pd 2.68-2.70
Ga  0.7682  0.8080  0.5687  5 Ga 2.66-2.90, 2 Pd 2.68-2.70
Ga  0.4238  0.8080  0.4313  5 Ga 2.66-2.90, 2 Pd 2.68-2.70
Ga  0.6631  0.1920  0.5687  5 Ga 2.66-2.90, 2 Pd 2.68-2.70
Ga  0.6051  0.0687  0.3080  5 Ga 2.66-2.90, 2 Pd 2.68-2.70
Ga  0.1449  0.4313  0.1920  5 Ga 2.66-2.90, 2 Pd 2.68-2.70
Na  0.5000  0.0000  0.0000  10 Ga 3.22-3.35
Na  0.2500  0.5000  0.5000  10 Ga 3.22-3.35

Computed properties:
Fermi-level density of states: 7.2 states/eV/cell
Formation enthalpy at 0 K: -0.24 eV/atom
Total energy: -3.488 eV/atom

Material: NpUPO2
Method: DFT, GGA-PBE
State: relaxed

a b c (Å): 3.7177 3.7177 5.9492
angles (deg): 108.21 108.21 90.00
Last column: nearest neighbours and their distance in Å.
Fractional coordinates of all 5 atoms:
U  0.8779  0.8779  0.7559  4 O 2.29, 1 Np 2.55
O  0.7519  0.2519  0.5039  2 U 2.29, 2 Np 2.35
O  0.2519  0.7519  0.5039  2 U 2.29, 2 Np 2.35
Np  0.1171  0.1171  0.2341  4 O 2.35, 1 U 2.55
P  0.5011  0.5011  0.0023  4 Np 2.91, 4 U 2.94, 4 O 3.25

Computed properties:
Fermi-level density of states: 8.2 states/eV/cell
Formation energy (no corrections): -10.790 eV/f.u.
Total energy: -10.069 eV/atom

Going through the records in order, we get magnetic moment values of 0.0, 2.7, 0.0, 0.0, 0.0, 0.0, 0.0, 0.0, 3.2, 0.0, 1.6 μB/cell.